# GGA-PBE KGa4Rh, optimized geometry
data_KGa4Rh
_cell_length_a 8.5463
_cell_length_b 8.5392
_cell_length_c 9.0029
_cell_angle_alpha 90.00
_cell_angle_beta 118.25
_cell_angle_gamma 90.00
_space_group_name_H-M_alt 'C 1 2/m 1'
_space_group_IT_number 12
loop_
_space_group_symop_operation_xyz
'x,y,z'
'-x,-y,-z'
'-x,y,-z'
'x,-y,z'
'x+1/2,y+1/2,z'
'-x+1/2,-y+1/2,-z'
'-x+1/2,y+1/2,-z'
'x+1/2,-y+1/2,z'
loop_
_atom_site_label
_atom_site_type_symbol
_atom_site_fract_x
_atom_site_fract_y
_atom_site_fract_z
_atom_site_occupancy
K1 K 0.2500 0.2500 0.0000 1
Ga1 Ga 0.0213 0.0000 0.3491 1
Ga2 Ga 0.1719 0.5000 0.6509 1
Ga3 Ga 0.1746 0.3464 0.3488 1
Rh1 Rh 0.0000 0.2500 0.5000 1
# Formation enthalpy at 0 K = -4.440 kcal/mol of atoms
# E_tot = -21.7 eV per formula unit

=====

# GGA-PBE MgAg5S4, optimized geometry
data_MgAg5S4
_cell_length_a 3.8404
_cell_length_b 7.1825
_cell_length_c 14.2973
_cell_angle_alpha 90.00
_cell_angle_beta 90.00
_cell_angle_gamma 90.00
_space_group_name_H-M_alt 'I m m m'
_space_group_IT_number 71
_space_group_name_Hall '-I 2 2'
loop_
_atom_site_label
_atom_site_type_symbol
_atom_site_fract_x
_atom_site_fract_y
_atom_site_fract_z
_atom_site_occupancy
Mg1 Mg 0.0000 0.0000 0.0000 1
Ag1 Ag 0.0000 0.2084 0.3267 1
Ag2 Ag 0.0000 0.5000 0.0000 1
S1 S 0.0000 0.0000 0.1869 1
S2 S 0.0000 0.2573 0.5000 1
# Formation energy without anion corrections = -233 meV/atom
# E_tot = -34.7 eV per formula unit

=====

# GGA-PBE LiLuTaRe, optimized geometry
data_LiLuTaRe
_cell_length_a 6.5583
_cell_length_b 6.5583
_cell_length_c 6.5583
_cell_angle_alpha 90.00
_cell_angle_beta 90.00
_cell_angle_gamma 90.00
_space_group_name_H-M_alt 'F -4 3 m'
_space_group_IT_number 216
_space_group_name_Hall 'F -4 2 3'
loop_
_atom_site_label
_atom_site_type_symbol
_atom_site_fract_x
_atom_site_fract_y
_atom_site_fract_z
_atom_site_occupancy
Li1 Li 0.0000 0.0000 0.0000 1
Lu1 Lu 0.2500 0.2500 0.7500 1
Ta1 Ta 0.2500 0.2500 0.2500 1
Re1 Re 0.0000 0.0000 0.5000 1
# Formation enthalpy at 0 K = 0.466 kcal/mol of atoms
# E_tot = -30.7 eV per formula unit

=====

# GGA-PBE PW2Se, optimized geometry
data_PW2Se
_cell_length_a 3.1761
_cell_length_b 3.3134
_cell_length_c 12.6663
_cell_angle_alpha 90.00
_cell_angle_beta 90.00
_cell_angle_gamma 90.00
_space_group_name_H-M_alt 'I m m 2'
_space_group_IT_number 44
loop_
_space_group_symop_operation_xyz
'x,y,z'
'-x,-y,z'
'-x,y,z'
'x,-y,z'
'x+1/2,y+1/2,z+1/2'
'-x+1/2,-y+1/2,z+1/2'
'-x+1/2,y+1/2,z+1/2'
'x+1/2,-y+1/2,z+1/2'
loop_
_atom_site_label
_atom_site_type_symbol
_atom_site_fract_x
_atom_site_fract_y
_atom_site_fract_z
_atom_site_occupancy
P1 P 0.0000 0.0000 0.0000 1
W1 W 0.0000 0.0000 0.5580 1
W2 W 0.0000 0.5000 0.8613 1
Se1 Se 0.0000 0.5000 0.2522 1
# E above lowest polymorph = 6.0 meV/atom
# Formation energy without anion corrections = 36 meV/atom
# E_tot = -34.7 eV per formula unit

=====

# GGA-PBE Hg5AsBr2, optimized geometry
data_Hg5AsBr2
_cell_length_a 7.0222
_cell_length_b 7.0341
_cell_length_c 9.7308
_cell_angle_alpha 90.00
_cell_angle_beta 90.00
_cell_angle_gamma 90.00
_space_group_name_H-M_alt 'I m m 2'
_space_group_IT_number 44
loop_
_space_group_symop_operation_xyz
'x,y,z'
'-x,-y,z'
'-x,y,z'
'x,-y,z'
'x+1/2,y+1/2,z+1/2'
'-x+1/2,-y+1/2,z+1/2'
'-x+1/2,y+1/2,z+1/2'
'x+1/2,-y+1/2,z+1/2'
loop_
_atom_site_label
_atom_site_type_symbol
_atom_site_fract_x
_atom_site_fract_y
_atom_site_fract_z
_atom_site_occupancy
Hg1 Hg 0.0000 0.0000 0.0000 1
Hg2 Hg 0.2252 0.2254 0.2059 1
As1 As 0.0000 0.0000 0.7335 1
Br1 Br 0.0000 0.5000 0.4413 1
Br2 Br 0.0000 0.5000 0.9406 1
# Formation energy without anion corrections = -75 meV/atom
# E_tot = -10.1 eV per formula unit

=====

# GGA-PBE Li5Mg2Cd3, optimized geometry
data_Li5Mg2Cd3
_cell_length_a 9.3341
_cell_length_b 11.7010
_cell_length_c 8.4048
_cell_angle_alpha 90.00
_cell_angle_beta 114.87
_cell_angle_gamma 90.00
_space_group_name_H-M_alt 'C 1 2/c 1'
_space_group_IT_number 15
loop_
_space_group_symop_operation_xyz
'x,y,z'
'-x,-y,-z'
'-x,y,-z+1/2'
'x,-y,z+1/2'
'x+1/2,y+1/2,z'
'-x+1/2,-y+1/2,-z'
'-x+1/2,y+1/2,-z+1/2'
'x+1/2,-y+1/2,z+1/2'
loop_
_atom_site_label
_atom_site_type_symbol
_atom_site_fract_x
_atom_site_fract_y
_atom_site_fract_z
_atom_site_occupancy
Li1 Li 0.0000 0.0041 0.2500 1
Li2 Li 0.0000 0.2510 0.2500 1
Li3 Li 0.0000 0.4826 0.2500 1
Li4 Li 0.1949 0.3687 0.6598 1
Mg1 Mg 0.2023 0.3801 0.0397 1
Cd1 Cd 0.0000 0.2374 0.7500 1
Cd2 Cd 0.1749 0.1061 0.5771 1
# Formation enthalpy at 0 K = -2.236 kcal/mol of atoms
# E_tot = -16.5 eV per formula unit

=====

# GGA-PBE Ni2HgAu2, optimized geometry
data_Ni2HgAu2
_cell_length_a 7.4697
_cell_length_b 7.4697
_cell_length_c 2.9523
_cell_angle_alpha 90.00
_cell_angle_beta 90.00
_cell_angle_gamma 90.00
_space_group_name_H-M_alt 'P 4/m b m'
_space_group_IT_number 127
_space_group_name_Hall '-P 4 2ab'
loop_
_atom_site_label
_atom_site_type_symbol
_atom_site_fract_x
_atom_site_fract_y
_atom_site_fract_z
_atom_site_occupancy
Ni1 Ni 0.1566 0.3434 0.0000 1
Hg1 Hg 0.0000 0.0000 0.5000 1
Au1 Au 0.1389 0.6389 0.5000 1
# E above lowest polymorph = 45.3 meV/atom
# Formation enthalpy at 0 K = 4.992 kcal/mol of atoms
# E_tot = -17.3 eV per formula unit

=====

# GGA-PBE Ac3Pr4Dy, optimized geometry
data_Ac3Pr4Dy
_cell_length_a 5.3757
_cell_length_b 10.7313
_cell_length_c 10.7269
_cell_angle_alpha 90.00
_cell_angle_beta 90.00
_cell_angle_gamma 90.00
_space_group_name_H-M_alt 'P m m n'
_space_group_IT_number 59
loop_
_space_group_symop_operation_xyz
'x,y,z'
'-x,-y,-z'
'-x+1/2,-y+1/2,z'
'x+1/2,y+1/2,-z'
'x+1/2,-y,-z'
'-x+1/2,y,z'
'-x,y+1/2,-z'
'x,-y+1/2,z'
loop_
_atom_site_label
_atom_site_type_symbol
_atom_site_fract_x
_atom_site_fract_y
_atom_site_fract_z
_atom_site_occupancy
Ac1 Ac 0.2500 0.0043 0.1307 1
Ac2 Ac 0.2500 0.2500 0.8697 1
Pr1 Pr 0.2500 0.2500 0.3783 1
Pr2 Pr 0.2500 0.5043 0.6196 1
Pr3 Pr 0.2500 0.7500 0.3833 1
Dy1 Dy 0.2500 0.7500 0.8657 1
# Formation enthalpy at 0 K = 0.750 kcal/mol of atoms
# E_tot = -35.8 eV per formula unit

=====

The highest E_tot belongs to which entry? Hg5AsBr2

=====

Among the records above, which one has the lowest E_tot? Ac3Pr4Dy